No. 1
Here is a relaxed FeC2F2 crystal from Alexandria. Energies are from PBEsol.

```
data_FeC2F2
_symmetry_space_group_name_H-M 'P 4/m b m'
_symmetry_Int_Tables_number 127
_symmetry_space_group_name_Hall '-P 4 2ab'
_cell_length_a 4.772
_cell_length_b 4.772
_cell_length_c 5.201
_cell_angle_alpha 90.00
_cell_angle_beta 90.00
_cell_angle_gamma 90.00
loop_
_atom_site_label
_atom_site_fract_x
_atom_site_fract_y
_atom_site_fract_z
Fe1 0.000 0.000 0.000
C1 0.248 0.252 0.500
F1 0.162 0.662 0.000
```

The formation energy from raw total energies is 138 kJ per mole of atoms. The calculation puts the raw total energy at -4.996 eV per atom. The calculated density comes out at 3.31 g cm⁻³.


No. 2
Here is a relaxed CaAlTe crystal from Alexandria. Energies are from PBEsol.

```
data_CaAlTe
_symmetry_space_group_name_H-M 'F -4 3 m'
_symmetry_Int_Tables_number 216
_symmetry_space_group_name_Hall 'F -4 2 3'
_cell_length_a 7.180
_cell_length_b 7.180
_cell_length_c 7.180
_cell_angle_alpha 90.00
_cell_angle_beta 90.00
_cell_angle_gamma 90.00
loop_
_atom_site_label
_atom_site_fract_x
_atom_site_fract_y
_atom_site_fract_z
Ca1 0.000 0.000 0.000
Al1 0.250 0.250 0.250
Te1 0.250 0.250 0.750
```

The formation energy from raw total energies is -18 kJ per mole of atoms. The calculation puts the raw total energy at -3.439 eV per atom. The calculation puts the excess energy over the best structure of this formula in the dataset at 296 meV/atom. The calculated density comes out at 3.49 g cm⁻³.


No. 3
Here is a relaxed Zn2FeCu crystal from Alexandria. Energies are from PBEsol.

```
data_Zn2FeCu
_symmetry_space_group_name_H-M 'I m m m'
_symmetry_Int_Tables_number 71
_symmetry_space_group_name_Hall '-I 2 2'
_cell_length_a 2.710
_cell_length_b 4.320
_cell_length_c 8.423
_cell_angle_alpha 90.00
_cell_angle_beta 90.00
_cell_angle_gamma 90.00
loop_
_atom_site_label
_atom_site_fract_x
_atom_site_fract_y
_atom_site_fract_z
Zn1 0.000 0.000 0.246
Fe1 0.000 0.500 0.000
Cu1 0.000 0.500 0.500
```

The calculation puts the raw total energy at -4.019 eV per atom. The calculated formation energy is 96 meV per atom. The calculated density comes out at 8.43 g cm⁻³.


No. 4
Here is a relaxed RePt3 crystal from Alexandria. Energies are from PBEsol.

```
data_RePt3
_symmetry_space_group_name_H-M 'P m m m'
_symmetry_Int_Tables_number 47
_cell_length_a 2.753
_cell_length_b 3.911
_cell_length_c 5.479
_cell_angle_alpha 90.00
_cell_angle_beta 90.00
_cell_angle_gamma 90.00
loop_
_symmetry_equiv_pos_as_xyz
'x,y,z'
'-x,-y,-z'
'-x,-y,z'
'x,y,-z'
'x,-y,-z'
'-x,y,z'
'-x,y,-z'
'x,-y,z'
loop_
_atom_site_label
_atom_site_fract_x
_atom_site_fract_y
_atom_site_fract_z
Re1 0.000 0.000 0.000
Pt1 0.000 0.000 0.500
Pt2 0.500 0.500 0.240
```

The calculation puts the raw total energy at -8.644 eV per atom. The calculated formation energy is -89 meV per atom. The calculated density comes out at 21.71 g cm⁻³.


No. 5
Here is a relaxed TcPtF2 crystal from Alexandria. Energies are from PBEsol.

```
data_TcPtF2
_symmetry_space_group_name_H-M 'F m -3 m'
_symmetry_Int_Tables_number 225
_symmetry_space_group_name_Hall '-F 4 2 3'
_cell_length_a 5.878
_cell_length_b 5.878
_cell_length_c 5.878
_cell_angle_alpha 90.00
_cell_angle_beta 90.00
_cell_angle_gamma 90.00
loop_
_atom_site_label
_atom_site_fract_x
_atom_site_fract_y
_atom_site_fract_z
Tc1 0.000 0.000 0.000
Pt1 0.000 0.000 0.500
F1 0.250 0.250 0.250
```

The formation energy from raw total energies is 31 kJ per mole of atoms. The calculation puts the raw total energy at -5.202 eV per atom. The calculated density comes out at 10.83 g cm⁻³.


No. 6
Here is a relaxed CaCu2Br crystal from Alexandria. Energies are from PBEsol.

```
data_CaCu2Br
_symmetry_space_group_name_H-M 'P 4/m m m'
_symmetry_Int_Tables_number 123
_symmetry_space_group_name_Hall '-P 4 2'
_cell_length_a 3.853
_cell_length_b 3.853
_cell_length_c 5.297
_cell_angle_alpha 90.00
_cell_angle_beta 90.00
_cell_angle_gamma 90.00
loop_
_atom_site_label
_atom_site_fract_x
_atom_site_fract_y
_atom_site_fract_z
Ca1 0.000 0.000 0.000
Cu1 0.000 0.500 0.500
Br1 0.500 0.500 0.000
```

The formation energy from raw total energies is -14 kJ per mole of atoms. The calculation puts the raw total energy at -3.315 eV per atom. The calculation puts the excess energy over the best structure of this formula in the dataset at 196 meV/atom. The calculated density comes out at 5.22 g cm⁻³.


No. 7
Here is a relaxed Hf3CuC crystal from Alexandria. Energies are from PBEsol.

```
data_Hf3CuC
_symmetry_space_group_name_H-M 'P m -3 m'
_symmetry_Int_Tables_number 221
_symmetry_space_group_name_Hall '-P 4 2 3'
_cell_length_a 4.382
_cell_length_b 4.382
_cell_length_c 4.382
_cell_angle_alpha 90.00
_cell_angle_beta 90.00
_cell_angle_gamma 90.00
loop_
_atom_site_label
_atom_site_fract_x
_atom_site_fract_y
_atom_site_fract_z
Hf1 0.000 0.000 0.500
Cu1 0.500 0.500 0.500
C1 0.000 0.000 0.000
```

The calculation puts the raw total energy at -9.411 eV per atom. The calculated formation energy is -314 meV per atom. The calculated density comes out at 12.06 g cm⁻³.


No. 8
Here is a relaxed CaBrOF2 crystal from Alexandria. Energies are from PBEsol.

```
data_CaBrOF2
_symmetry_space_group_name_H-M 'P 4/m m m'
_symmetry_Int_Tables_number 123
_symmetry_space_group_name_Hall '-P 4 2'
_cell_length_a 4.310
_cell_length_b 4.310
_cell_length_c 4.816
_cell_angle_alpha 90.00
_cell_angle_beta 90.00
_cell_angle_gamma 90.00
loop_
_atom_site_label
_atom_site_fract_x
_atom_site_fract_y
_atom_site_fract_z
Ca1 0.000 0.000 0.000
Br1 0.500 0.500 0.500
O1 0.000 0.000 0.500
F1 0.000 0.500 0.000
```

The formation energy from raw total energies is -143 kJ per mole of atoms. The calculation puts the raw total energy at -4.099 eV per atom. The calculated density comes out at 3.23 g cm⁻³.


No. 9
Here is a relaxed Na2TaBr crystal from Alexandria. Energies are from PBEsol.

```
data_Na2TaBr
_symmetry_space_group_name_H-M 'F m -3 m'
_symmetry_Int_Tables_number 225
_symmetry_space_group_name_Hall '-F 4 2 3'
_cell_length_a 7.591
_cell_length_b 7.591
_cell_length_c 7.591
_cell_angle_alpha 90.00
_cell_angle_beta 90.00
_cell_angle_gamma 90.00
loop_
_atom_site_label
_atom_site_fract_x
_atom_site_fract_y
_atom_site_fract_z
Na1 0.250 0.250 0.250
Ta1 0.000 0.000 0.000
Br1 0.000 0.000 0.500
```

The formation energy from raw total energies is 101 kJ per mole of atoms. The calculation puts the raw total energy at -3.259 eV per atom. The calculated density comes out at 4.66 g cm⁻³.


No. 10
Here is a relaxed CdSiRh crystal from Alexandria. Energies are from PBEsol.

```
data_CdSiRh
_symmetry_space_group_name_H-M 'F -4 3 m'
_symmetry_Int_Tables_number 216
_symmetry_space_group_name_Hall 'F -4 2 3'
_cell_length_a 5.944
_cell_length_b 5.944
_cell_length_c 5.944
_cell_angle_alpha 90.00
_cell_angle_beta 90.00
_cell_angle_gamma 90.00
loop_
_atom_site_label
_atom_site_fract_x
_atom_site_fract_y
_atom_site_fract_z
Cd1 0.000 0.000 0.000
Si1 0.000 0.000 0.500
Rh1 0.250 0.250 0.750
```

The formation energy from raw total energies is -8 kJ per mole of atoms. The calculation puts the raw total energy at -5.110 eV per atom. The calculated density comes out at 7.70 g cm⁻³.


No. 11
Here is a relaxed CaFe2BrF crystal from Alexandria. Energies are from PBEsol.

```
data_CaFe2BrF
_symmetry_space_group_name_H-M 'P 4/m m m'
_symmetry_Int_Tables_number 123
_symmetry_space_group_name_Hall '-P 4 2'
_cell_length_a 4.077
_cell_length_b 4.077
_cell_length_c 5.276
_cell_angle_alpha 90.00
_cell_angle_beta 90.00
_cell_angle_gamma 90.00
loop_
_atom_site_label
_atom_site_fract_x
_atom_site_fract_y
_atom_site_fract_z
Ca1 0.000 0.000 0.000
Fe1 0.000 0.500 0.500
Br1 0.500 0.500 0.000
F1 0.000 0.000 0.500
```

The formation energy from raw total energies is -15 kJ per mole of atoms. The calculation puts the raw total energy at -4.923 eV per atom. The calculated density comes out at 4.75 g cm⁻³.


No. 12
Here is a relaxed Y2ScPt crystal from Alexandria. Energies are from PBEsol.

```
data_Y2ScPt
_symmetry_space_group_name_H-M 'P 4 m m'
_symmetry_Int_Tables_number 99
_cell_length_a 3.430
_cell_length_b 3.430
_cell_length_c 8.142
_cell_angle_alpha 90.00
_cell_angle_beta 90.00
_cell_angle_gamma 90.00
loop_
_symmetry_equiv_pos_as_xyz
'x,y,z'
'-y,x,z'
'-x,-y,z'
'y,-x,z'
'-x,y,z'
'y,x,z'
'x,-y,z'
'-y,-x,z'
loop_
_atom_site_label
_atom_site_fract_x
_atom_site_fract_y
_atom_site_fract_z
Y1 0.000 0.000 0.000
Y2 0.500 0.500 0.320
Sc1 0.500 0.500 0.707
Pt1 0.000 0.000 0.540
```

The calculation puts the raw total energy at -7.361 eV per atom. The calculation puts the excess energy over the best structure of this formula in the dataset at 65 meV/atom. The calculated formation energy is -558 meV per atom. The calculated density comes out at 7.25 g cm⁻³.